Entry 1:
DFT (PBE) results for crystalline RbHfSb at its relaxed geometry.

Computed properties:
- Energy relative to the lowest polymorph listed for this composition: 0.000 eV per formula unit
- Calculated volume: 34.76 Å³ per atom
- Uncorrected energy: -4.3198 eV/atom

Cell lengths 7.4714, 7.4714, 7.4714 Å; angles 90.00, 90.00, 90.00 degrees
Space group F-43m (No. 216)
Asymmetric unit:
Rb: 0.0000 0.0000 0.0000 x4
Hf: 0.0000 0.0000 0.5000 x4
Sb: 0.2500 0.2500 0.2500 x4

---

Entry 2:
DFT (PBE) results for crystalline RbHf3Sb5 at its relaxed geometry.

Computed properties:
- Calculated volume: 31.22 Å³ per atom
- Uncorrected energy: -6.0580 eV/atom

Cell lengths 6.0075, 6.0075, 8.9889 Å; angles 90.00, 90.00, 120.00 degrees
Space group P6/mmm (No. 191)
Asymmetric unit:
Rb: 0.0000 0.0000 0.0000 x1
Hf: 0.0000 0.5000 0.5000 x3
Sb: 0.0000 0.0000 0.5000 x1
Sb: 0.3333 0.6667 0.2277 x4

---

Entry 3:
DFT (PBE) results for crystalline RbHfScSe3 at its relaxed geometry.

Computed properties:
- Energy relative to the lowest polymorph listed for this composition: 0.271 eV per formula unit
- Calculated volume: 27.42 Å³ per atom
- Uncorrected energy: -5.9171 eV/atom

Cell lengths 4.0289, 15.6463, 10.4387 Å; angles 90.00, 90.00, 90.00 degrees
Space group Cmcm (No. 63)
Asymmetric unit:
Rb: 0.0000 0.2429 0.2500 x4
Hf: 0.0000 0.5000 0.0000 x4
Sc: 0.0000 0.0375 0.7500 x4
Se: 0.0000 0.1199 0.5382 x8
Se: 0.0000 0.4348 0.7500 x4

---

Entry 4:
DFT (PBE) results for crystalline RbHfScSe3 at its relaxed geometry.

Computed properties:
- Energy relative to the lowest polymorph listed for this composition: 0.000 eV per formula unit
- Calculated volume: 28.10 Å³ per atom
- Uncorrected energy: -5.9624 eV/atom

Cell lengths 8.8677, 3.8322, 10.8295 Å; angles 90.00, 113.59, 90.00 degrees
Space group P2_1/m (No. 11)
Asymmetric unit:
Rb: 0.2407 0.2500 0.2473 x2
Hf: 0.3360 0.7500 0.9267 x2
Sc: 0.1489 0.2500 0.6415 x2
Se: 0.1096 0.2500 0.8840 x2
Se: 0.1826 0.7500 0.4866 x2
Se: 0.4691 0.2500 0.8189 x2